BaHg4Pd6: relaxed, GGA-PBE.

Lattice parameters (Å, degrees): 6.883 6.883 10.437 90.00 90.00 90.00
Space group I-42m (No. 121)
Inequivalent atoms, fractional coordinates:
Ba (0.000, 0.000, 0.000) x2
Hg (0.211, 0.211, 0.308) x8
Pd (0.000, 0.500, 0.000) x4
Pd (0.156, 0.156, 0.583) x8

The electronic total energy comes out at -71.9 eV for the cell shown. For the density of states at the Fermi level, the calculation gives 11.11 states/eV per cell.



Ba3Hg3Pd: relaxed, GGA-PBE.

Lattice parameters (Å, degrees): 12.332 4.558 17.963 90.00 106.64 90.00
Space group C2/m (No. 12)
Inequivalent atoms, fractional coordinates:
Ba (0.027, 0.000, 0.395) x4
Ba (0.101, 0.000, 0.920) x4
Ba (0.239, 0.000, 0.244) x4
Hg (0.025, 0.500, 0.241) x4
Hg (0.115, 0.500, 0.080) x4
Hg (0.164, 0.500, 0.541) x4
Pd (0.218, 0.500, 0.378) x4

The electronic total energy comes out at -62.1 eV for the cell shown. For the density of states at the Fermi level, the calculation gives 17.63 states/eV per cell.



BaHg5Pd2: relaxed, GGA-PBE.

Lattice parameters (Å, degrees): 4.500 8.293 10.843 90.00 90.00 90.00
Space group Immm (No. 71)
Inequivalent atoms, fractional coordinates:
Ba (0.000, 0.000, 0.000) x2
Hg (0.000, 0.189, 0.346) x8
Hg (0.000, 0.500, 0.000) x2
Pd (0.000, 0.500, 0.255) x4

The electronic total energy comes out at -32.2 eV for the cell shown. For the density of states at the Fermi level, the calculation gives 7.52 states/eV per cell.



Ba2Hg2Pd: relaxed, GGA-PBE.

Lattice parameters (Å, degrees): 4.230 4.230 19.141 90.00 90.00 90.00
Space group I4/mmm (No. 139)
Inequivalent atoms, fractional coordinates:
Ba (0.000, 0.000, 0.096) x4
Hg (0.000, 0.500, 0.250) x4
Pd (0.000, 0.000, 0.500) x2

The distance to the lowest polymorph of the same formula comes out at 194.2 meV per atom. The electronic total energy comes out at -22.8 eV for the cell shown. For the density of states at the Fermi level, the calculation gives 3.71 states/eV per cell.



no.,total magnetic moment (μB/cell)
1,0.0
2,0.0
3,0.0
4,0.0